# RbSrCd4 | the Open Quantum Materials Database | PBE | relaxed
# Crystal system = orthorhombic
# Total DFT energy (no corrections) = -1.216 eV per atom
data_RbSrCd4
_space_group_name_H-M_alt 'I m m 2'
_space_group_IT_number 44
_space_group_name_Hall 'I 2 -2'
_cell_length_a 5.212
_cell_length_b 8.438
_cell_length_c 8.589
_cell_angle_alpha 90.00
_cell_angle_beta 90.00
_cell_angle_gamma 90.00
loop_
_atom_site_label
_atom_site_type_symbol
_atom_site_fract_x
_atom_site_fract_y
_atom_site_fract_z
_atom_site_occupancy
Rb1 Rb 0.000 0.000 0.000 1
Sr1 Sr 0.000 0.500 0.889 1
Cd1 Cd 0.000 0.180 0.599 1
Cd2 Cd 0.000 0.313 0.272 1